# Na2Sb4O7

A relaxed Na2Sb4O7 crystal (PBEsol, Alexandria via LeMat-Bulk).

Calculated values
As for the density of states at the Fermi level: 0.00 states/eV/cell. For the density, the calculation gives 4.55 g/cm³. As for the space group: C2/c (15). The uncorrected formation energy is -33.9 kcal/mol of atoms.

Cell lengths 5.687, 9.983, 9.996 Å; angles 118.57, 104.32, 94.26 degrees
Fractional positions:
Na: 0.416 0.490 0.814
Na: 0.898 0.324 0.814
Na: 0.584 0.510 0.186
Na: 0.102 0.676 0.186
Sb: 0.284 0.603 0.493
Sb: 0.291 0.110 0.507
Sb: 0.716 0.397 0.507
Sb: 0.709 0.890 0.493
Sb: 0.999 0.722 0.861
Sb: 0.361 0.138 0.861
Sb: 0.001 0.278 0.139
Sb: 0.639 0.862 0.139
O: 0.990 0.499 0.273
O: 0.525 0.981 0.369
O: 0.010 0.501 0.727
O: 0.217 0.226 0.727
O: 0.556 0.306 0.612
O: 0.444 0.694 0.388
O: 0.656 0.612 0.631
O: 0.475 0.019 0.631
O: 0.344 0.388 0.369
O: 0.690 0.288 0.975
O: 0.214 0.313 0.025
O: 0.310 0.712 0.025
O: 0.783 0.774 0.273
O: 0.786 0.687 0.975

***

# NaSbO3

A relaxed NaSbO3 crystal (PBEsol, Alexandria via LeMat-Bulk).

Calculated values
As for the density of states at the Fermi level: 0.00 states/eV/cell. For the density, the calculation gives 4.69 g/cm³. As for the space group: Fd-3m (227). The uncorrected formation energy is -37.2 kcal/mol of atoms.

Cell lengths 7.279, 7.279, 7.279 Å; angles 60.00, 60.00, 60.00 degrees
Fractional positions:
Na: 0.125 0.125 0.125
Na: 0.125 0.125 0.625
Na: 0.125 0.625 0.125
Na: 0.625 0.125 0.125
Sb: 0.625 0.625 0.625
Sb: 0.625 0.625 0.125
Sb: 0.625 0.125 0.625
Sb: 0.125 0.625 0.625
O: 0.703 0.703 0.297
O: 0.297 0.297 0.703
O: 0.703 0.297 0.703
O: 0.297 0.703 0.297
O: 0.703 0.297 0.297
O: 0.297 0.703 0.703
O: 0.547 0.547 0.953
O: 0.953 0.953 0.547
O: 0.547 0.953 0.547
O: 0.953 0.547 0.953
O: 0.547 0.953 0.953
O: 0.953 0.547 0.547

***

# NaSb3O8

A relaxed NaSb3O8 crystal (PBEsol, Alexandria via LeMat-Bulk).

Calculated values
For the density, the calculation gives 6.34 g/cm³. As for the space group: Ibam (72). The uncorrected formation energy is -32.8 kcal/mol of atoms. The value obtained for the offset from the most stable computed form is 4.4 kJ/mol of atoms.

Cell lengths 7.124, 7.272, 7.272 Å; angles 60.76, 60.67, 60.67 degrees
Fractional positions:
Na: 0.000 0.750 0.250
Na: 0.000 0.250 0.750
Sb: 0.508 0.254 0.254
Sb: 0.017 0.246 0.246
Sb: 0.500 0.250 0.750
Sb: 0.500 0.750 0.250
Sb: 0.983 0.754 0.754
Sb: 0.492 0.746 0.746
O: 0.435 0.069 0.656
O: 0.435 0.656 0.069
O: 0.160 0.431 0.844
O: 0.160 0.844 0.431
O: 0.460 0.424 0.424
O: 0.309 0.076 0.076
O: 0.824 0.664 0.664
O: 0.152 0.836 0.836
O: 0.848 0.164 0.164
O: 0.176 0.336 0.336
O: 0.691 0.924 0.924
O: 0.540 0.576 0.576
O: 0.840 0.156 0.569
O: 0.565 0.344 0.931
O: 0.840 0.569 0.156
O: 0.565 0.931 0.344